(1)
Entry from Alexandria: Nd2SmHo2Th2 after structural relaxation (PBE).

Values from the calculation:
ΔE_f   0.14 eV per atom
Density   8.9 g/cm³
V   33.016 Å³/atom

a b c (Å): 5.966 6.958 12.948
angles (deg): 142.61 90.00 115.39
Sites, in units of the cell vectors:
Th 0.845 0.689 0.630
Th 0.155 0.311 0.370
Ho 0.563 0.126 0.918
Ho 0.437 0.874 0.082
Nd 0.267 0.534 0.187
Nd 0.733 0.466 0.813
Sm 0.000 0.000 0.500

=====

(2)
Entry from Alexandria: P2PbBr after structural relaxation (PBE).

Values from the calculation:
Energy relative to the elements, uncorrected   0.6920 eV/atom
Density   5.9 g/cm³
V   24.396 Å³/atom

a b c (Å): 3.747 3.747 7.773
angles (deg): 90.00 90.00 116.62
Sites, in units of the cell vectors:
P 0.000 0.000 0.008
P 0.000 0.000 0.492
Br 0.500 0.500 0.750
Pb 0.500 0.500 0.250

=====

(3)
Entry from Alexandria: LiBe2SiF after structural relaxation (PBE).

Values from the calculation:
Energy relative to the elements, uncorrected   0.6962 eV/atom
Density   1.8 g/cm³
V   13.668 Å³/atom

a b c (Å): 4.103 4.060 4.103
angles (deg): 90.00 90.00 90.00
Sites, in units of the cell vectors:
Si 0.000 0.500 0.000
Li 0.000 0.000 0.000
Be 0.000 0.000 0.500
Be 0.500 0.000 0.000
F 0.500 0.500 0.500

=====

(4)
Entry from Alexandria: Tm4Sn2C after structural relaxation (PBE).

Values from the calculation:
ΔE_f   -0.41 eV per atom
Density   9.0 g/cm³
V   24.423 Å³/atom

a b c (Å): 3.568 6.123 8.516
angles (deg): 109.53 102.09 90.00
Last column: magnetic moment on the atom in μB.
Sites, in units of the cell vectors:
Tm 0.096 0.786 0.192  0.19
Tm 0.581 0.249 0.163  0.14
Tm 0.419 0.751 0.837  0.14
Tm 0.904 0.214 0.808  0.19
Sn 0.751 0.725 0.501  0.00
Sn 0.249 0.275 0.499  0.00
C 0.000 0.000 0.000  -0.01

=====

(5)
Entry from Alexandria: PdBrN2O after structural relaxation (PBE).

Values from the calculation:
Energy relative to the elements, uncorrected   1.6457 eV/atom
Density   5.6 g/cm³
V   13.762 Å³/atom

a b c (Å): 4.096 4.096 4.101
angles (deg): 90.00 90.00 90.00
Last column: magnetic moment on the atom in μB.
Sites, in units of the cell vectors:
Br 0.500 0.500 0.500  -0.14
N 0.000 0.500 0.000  1.02
N 0.500 0.000 0.000  1.02
Pd 0.000 0.000 0.000  0.19
O 0.000 0.000 0.500  -0.54

=====

(6)
Entry from Alexandria: Ho2CuSi4Ni3 after structural relaxation (PBE).

Values from the calculation:
Energy relative to the elements, uncorrected   -0.7843 eV/atom
Density   7.6 g/cm³
V   14.985 Å³/atom

a b c (Å): 3.955 3.955 9.578
angles (deg): 90.00 90.00 90.00
Sites, in units of the cell vectors:
Ho 0.000 0.500 0.752
Ho 0.500 0.000 0.248
Si 0.500 0.000 0.637
Si 0.500 0.500 0.000
Si 0.000 0.500 0.363
Si 0.000 0.000 0.000
Ni 0.000 0.000 0.500
Ni 0.500 0.000 0.876
Ni 0.000 0.500 0.124
Cu 0.500 0.500 0.500

=====

(7)
Entry from Alexandria: La8Ir2RuRh after structural relaxation (PBE).

Values from the calculation:
ΔE_f   -0.52 eV per atom
Density   7.1 g/cm³
V   33.104 Å³/atom

a b c (Å): 6.856 6.739 8.597
angles (deg): 90.00 90.00 90.06
Sites, in units of the cell vectors:
La 0.830 0.223 0.754
La 0.672 0.727 0.000
La 0.669 0.724 0.500
La 0.331 0.276 0.500
La 0.170 0.777 0.246
La 0.170 0.777 0.754
La 0.830 0.223 0.246
La 0.328 0.273 0.000
Rh 0.000 0.000 0.500
Ir 0.500 0.500 0.750
Ir 0.500 0.500 0.250
Ru 0.000 0.000 0.000

=====

(8)
Entry from Alexandria: Np4S6Br after structural relaxation (PBE).

Values from the calculation:
Energy relative to the elements, uncorrected   -1.2558 eV/atom
Density   7.6 g/cm³
V   24.324 Å³/atom

a b c (Å): 7.324 7.324 7.190
angles (deg): 59.39 59.39 90.00
Last column: magnetic moment on the atom in μB.
Sites, in units of the cell vectors:
Np 0.820 0.820 0.800  3.76
Np 0.621 0.180 0.200  3.76
Np 0.180 0.621 0.200  3.76
Np 0.379 0.379 0.800  3.76
S 0.484 0.484 0.331  -0.12
S 0.814 0.517 0.669  -0.12
S 0.186 0.186 0.331  -0.12
S 0.000 0.500 0.000  -0.13
S 0.517 0.814 0.669  -0.12
S 0.500 0.000 0.000  -0.13
Br 0.000 0.000 0.000  -0.04

=====

(9)
Entry from Alexandria: La5W4 after structural relaxation (PBE).

Values from the calculation:
ΔE_f   0.58 eV per atom
Density   10.7 g/cm³
V   24.704 Å³/atom

a b c (Å): 8.338 8.338 8.338
angles (deg): 92.29 92.29 156.96
Sites, in units of the cell vectors:
La 0.000 0.000 0.000
La 0.671 0.671 0.341
La 0.329 0.329 0.659
La 0.671 0.329 0.000
La 0.329 0.671 0.000
W 0.000 0.372 0.372
W 0.000 0.628 0.628
W 0.628 0.000 0.628
W 0.372 0.000 0.372

=====

(10)
Entry from Alexandria: Ac2In3Ir2 after structural relaxation (PBE).

Values from the calculation:
ΔE_f   -0.51 eV per atom
Density   11.1 g/cm³
V   25.231 Å³/atom

a b c (Å): 4.474 5.931 7.885
angles (deg): 112.42 90.00 112.16
Sites, in units of the cell vectors:
In 0.362 0.724 0.558
In 0.500 0.000 0.000
In 0.638 0.276 0.442
Ir 0.859 0.718 0.798
Ir 0.141 0.282 0.202
Ac 0.144 0.288 0.781
Ac 0.856 0.712 0.219

=====

(11)
Entry from Alexandria: Li2TcSb after structural relaxation (PBE).

Values from the calculation:
Energy relative to the elements, uncorrected   -0.1092 eV/atom
Density   6.5 g/cm³
V   15.006 Å³/atom

a b c (Å): 4.892 4.892 4.892
angles (deg): 133.77 133.76 67.45
Sites, in units of the cell vectors:
Li 0.000 0.000 0.000
Li 0.750 0.250 0.500
Tc 0.250 0.750 0.500
Sb 0.500 0.500 0.000

=====

(12)
Entry from Alexandria: Zr3TlH after structural relaxation (PBE).

Values from the calculation:
Calculated total energy   -6.441 eV/atom
Density   8.4 g/cm³
V   18.835 Å³/atom

a b c (Å): 5.736 5.736 5.736
angles (deg): 87.89 87.89 87.89
Sites, in units of the cell vectors:
Zr 0.250 0.003 0.497
Zr 0.003 0.497 0.250
Zr 0.497 0.250 0.003
Zr 0.503 0.750 0.997
Zr 0.750 0.997 0.503
Zr 0.997 0.503 0.750
H 0.750 0.750 0.750
H 0.250 0.250 0.250
Tl 0.000 0.000 0.000
Tl 0.500 0.500 0.500

=====

(13)
Entry from Alexandria: CrOs4Br after structural relaxation (PBE).

Values from the calculation:
Energy relative to the elements, uncorrected   1.3115 eV/atom
Density   14.7 g/cm³
V   16.863 Å³/atom

a b c (Å): 5.230 5.230 5.230
angles (deg): 60.00 60.00 60.00
Last column: magnetic moment on the atom in μB.
Sites, in units of the cell vectors:
Os 0.877 0.374 0.374  -0.63
Os 0.374 0.877 0.374  -0.63
Os 0.374 0.374 0.877  -0.63
Os 0.374 0.374 0.374  -0.63
Br 0.750 0.750 0.750  -0.13
Cr 0.000 0.000 0.000  3.15

=====

(14)
Entry from Alexandria: La3NbB2N6 after structural relaxation (PBE).

Values from the calculation:
Energy relative to the elements, uncorrected   -1.1466 eV/atom
Density   6.1 g/cm³
V   13.975 Å³/atom

a b c (Å): 5.539 5.539 6.312
angles (deg): 90.00 90.00 120.00
Sites, in units of the cell vectors:
La 0.667 0.333 0.333
La 0.000 0.000 0.000
La 0.333 0.667 0.667
B 0.667 0.333 0.737
B 0.333 0.667 0.263
Nb 0.000 0.000 0.500
N 0.819 0.181 0.701
N 0.181 0.819 0.299
N 0.638 0.819 0.299
N 0.819 0.638 0.701
N 0.362 0.181 0.701
N 0.181 0.362 0.299

=====

(15)
Entry from Alexandria: Pm2SmGe after structural relaxation (PBE).

Values from the calculation:
ΔE_f   -0.29 eV per atom
Density   7.4 g/cm³
V   28.910 Å³/atom

a b c (Å): 4.706 6.566 7.484
angles (deg): 90.00 90.00 90.00
Sites, in units of the cell vectors:
Pm 0.000 0.767 0.850
Pm 0.500 0.733 0.150
Pm 0.500 0.267 0.150
Pm 0.000 0.233 0.850
Sm 0.500 0.500 0.588
Sm 0.000 0.000 0.412
Ge 0.000 0.500 0.326
Ge 0.500 0.000 0.674

=====

(16)
Entry from Alexandria: CaHfV2 after structural relaxation (PBE).

Values from the calculation:
ΔE_f   0.70 eV per atom
Density   6.3 g/cm³
V   21.015 Å³/atom

a b c (Å): 4.917 4.917 4.917
angles (deg): 60.00 60.00 60.00
Last column: magnetic moment on the atom in μB.
Sites, in units of the cell vectors:
V 0.750 0.750 0.750  2.26
V 0.250 0.250 0.250  2.26
Ca 0.000 0.000 0.000  0.11
Hf 0.500 0.500 0.500  0.38

=====

(17)
Entry from Alexandria: ZrPICl2 after structural relaxation (PBE).

Values from the calculation:
Energy relative to the elements, uncorrected   0.8986 eV/atom
Density   3.6 g/cm³
V   29.704 Å³/atom

a b c (Å): 5.235 5.235 5.420
angles (deg): 90.00 90.00 90.00
Last column: magnetic moment on the atom in μB.
Sites, in units of the cell vectors:
I 0.000 0.000 0.000  -0.01
Cl 0.500 0.000 0.000  -0.02
Cl 0.000 0.500 0.000  -0.02
Zr 0.500 0.500 0.500  1.36
P 0.000 0.000 0.500  -0.13

=====

(18)
Entry from Alexandria: CeHo6Tm12 after structural relaxation (PBE).

Values from the calculation:
ΔE_f   0.22 eV per atom
Density   8.7 g/cm³
V   31.735 Å³/atom

a b c (Å): 8.576 8.576 8.576
angles (deg): 99.26 99.26 99.26
Last column: magnetic moment on the atom in μB.
Sites, in units of the cell vectors:
Tm 0.757 0.243 0.500  -0.03
Tm 0.757 0.500 0.243  -0.03
Tm 0.243 0.757 0.500  -0.03
Tm 0.351 0.351 0.079  0.01
Tm 0.500 0.757 0.243  -0.03
Tm 0.351 0.079 0.351  0.01
Tm 0.079 0.351 0.351  0.01
Tm 0.243 0.500 0.757  -0.03
Tm 0.500 0.243 0.757  -0.03
Tm 0.649 0.921 0.649  0.01
Tm 0.649 0.649 0.921  0.01
Tm 0.921 0.649 0.649  0.01
Ho 0.661 0.105 0.105  0.04
Ho 0.105 0.105 0.661  0.04
Ho 0.339 0.895 0.895  0.04
Ho 0.895 0.339 0.895  0.04
Ho 0.105 0.661 0.105  0.04
Ho 0.895 0.895 0.339  0.04
Ce 0.000 0.000 0.000  0.90

=====

(19)
Entry from Alexandria: BaH3Au after structural relaxation (PBE).

Values from the calculation:
Calculated total energy   -3.361 eV/atom
Density   8.2 g/cm³
V   13.688 Å³/atom

a b c (Å): 4.090 4.090 4.090
angles (deg): 90.00 90.00 90.00
Sites, in units of the cell vectors:
H 0.000 0.000 0.500
H 0.500 0.000 0.000
H 0.000 0.500 0.000
Ba 0.500 0.500 0.500
Au 0.000 0.000 0.000

=====

(20)
Entry from Alexandria: Nd4Si2Sn5 after structural relaxation (PBE).

Values from the calculation:
Energy relative to the elements, uncorrected   -0.6374 eV/atom
Density   6.9 g/cm³
V   26.688 Å³/atom

a b c (Å): 4.355 7.522 8.988
angles (deg): 94.38 90.00 90.00
Sites, in units of the cell vectors:
Nd 0.500 0.769 0.595
Nd 0.500 0.216 0.857
Nd 0.500 0.231 0.405
Nd 0.500 0.784 0.143
Sn 0.000 0.447 0.659
Sn 0.000 0.500 0.000
Sn 0.000 0.553 0.341
Sn 0.000 0.135 0.133
Sn 0.000 0.865 0.867
Si 0.000 0.080 0.620
Si 0.000 0.920 0.380